ScAgW2 | PBE | optimized geometry

Summary:
Energy above the most stable polymorph in this dataset   0.5397 eV/atom
E_form   0.77 eV per atom
Magnetization   0.00 Bohr magnetons per cell

```
data_ScAgW2
_chemical_formula_sum 'Sc1 Ag1 W2'
_cell_length_a 3.514
_cell_length_b 3.514
_cell_length_c 5.674
_cell_angle_alpha 90.00
_cell_angle_beta 90.00
_cell_angle_gamma 90.00
_symmetry_space_group_name_H-M 'P 4/m m m'
_symmetry_Int_Tables_number 123
_symmetry_space_group_name_Hall '-P 4 2'
loop_
_atom_site_label
_atom_site_fract_x
_atom_site_fract_y
_atom_site_fract_z
Sc1 0.000 0.000 0.000
Ag1 0.000 0.000 0.500
W1 0.500 0.500 0.252
```